No. 1
Here is crystalline NaNp2PaSe4 at its relaxed geometry from Alexandria via LeMat-Bulk. Energies are from PBE.

Unit cell a=7.067 b=4.095 c=7.213 alpha=90.00 beta=109.08 gamma=90.00
Fractional coordinates of all 8 atoms:
Na  0.000  0.000  0.000
Np  0.500  0.000  0.500
Np  0.500  0.500  0.000
Pa  0.000  0.500  0.500
Se  0.250  0.000  0.752
Se  0.250  0.500  0.252
Se  0.750  0.000  0.248
Se  0.750  0.500  0.748

Calculated values
The raw formation energy comes out at -1.16 eV per atom.

No. 2
Here is crystalline KZrRu3 at its relaxed geometry from Alexandria via LeMat-Bulk. Energies are from PBE.

Unit cell a=4.975 b=4.975 c=4.975 alpha=90.00 beta=90.00 gamma=90.00
Fractional coordinates of all 5 atoms:
K  0.000  0.000  0.000
Zr  0.500  0.500  0.500
Ru  0.000  0.500  0.500
Ru  0.500  0.000  0.500
Ru  0.500  0.500  0.000

Calculated values
For the formation energy, the calculation gives 1464 meV per atom. The relative energy among the computed polymorphs comes out at 0.0 meV/atom.

No. 3
Here is crystalline AlMoRu at its relaxed geometry from Alexandria via LeMat-Bulk. Energies are from PBE.

Unit cell a=4.177 b=4.177 c=4.177 alpha=60.00 beta=60.00 gamma=60.00
Fractional coordinates of all 3 atoms:
Al  0.000  0.000  0.000
Mo  0.500  0.500  0.500
Ru  0.250  0.250  0.250

Calculated values
For the formation energy, the calculation gives -20 meV per atom.

No. 4
Here is crystalline CrIr6Rh at its relaxed geometry from Alexandria via LeMat-Bulk. Energies are from PBE.

Unit cell a=3.843 b=3.843 c=7.688 alpha=90.00 beta=90.00 gamma=90.00
Fractional coordinates of all 8 atoms:
Cr  0.000  0.000  0.000
Ir  0.000  0.500  0.245
Ir  0.000  0.500  0.755
Ir  0.500  0.000  0.245
Ir  0.500  0.000  0.755
Ir  0.500  0.500  0.000
Ir  0.500  0.500  0.500
Rh  0.000  0.000  0.500

Calculated values
For the formation energy, the calculation gives -102 meV per atom.

No. 5
Here is crystalline Ba2CaIn2Bi4 at its relaxed geometry from Alexandria via LeMat-Bulk. Energies are from PBE.

Unit cell a=9.070 b=9.070 c=7.444 alpha=109.18 beta=109.18 gamma=34.35
Fractional coordinates of all 9 atoms:
Ba  0.134  0.134  0.116
Ba  0.866  0.866  0.884
Ca  0.000  0.000  0.500
In  0.336  0.336  0.495
In  0.664  0.664  0.505
Bi  0.205  0.205  0.708
Bi  0.490  0.490  0.220
Bi  0.510  0.510  0.780
Bi  0.795  0.795  0.292

Calculated values
For the formation energy, the calculation gives -622 meV per atom.

No. 6
Here is crystalline UGa2Fe at its relaxed geometry from Alexandria via LeMat-Bulk. Energies are from PBE.

Unit cell a=5.228 b=5.228 c=5.228 alpha=47.88 beta=47.88 gamma=47.88
Fractional coordinates of all 4 atoms:
U  0.000  0.000  0.000
Ga  0.220  0.220  0.220
Ga  0.780  0.780  0.780
Fe  0.500  0.500  0.500

Calculated values
For the formation energy, the calculation gives 27 meV per atom.

No. 7
Here is crystalline YCoPt2 at its relaxed geometry from Alexandria via LeMat-Bulk. Energies are from PBE.

Unit cell a=9.229 b=9.229 c=9.229 alpha=18.36 beta=18.36 gamma=18.36
Fractional coordinates of all 4 atoms:
Y  0.000  0.000  0.000
Co  0.500  0.500  0.500
Pt  0.241  0.241  0.241
Pt  0.759  0.759  0.759

Calculated values
For the formation energy, the calculation gives -9 meV per atom.

No. 8
Here is crystalline Ba2ZnHgN at its relaxed geometry from Alexandria via LeMat-Bulk. Energies are from PBE.

Unit cell a=5.907 b=5.907 c=3.967 alpha=90.00 beta=90.00 gamma=90.00
Fractional coordinates of all 5 atoms:
Ba  0.000  0.500  0.000
Ba  0.500  0.000  0.000
Zn  0.000  0.000  0.500
Hg  0.500  0.500  0.500
N  0.000  0.000  0.000

Calculated values
The raw formation energy comes out at -0.29 eV per atom. The relative energy among the computed polymorphs comes out at 88.3 meV/atom.

No. 9
Here is crystalline Pr2SiSb at its relaxed geometry from Alexandria via LeMat-Bulk. Energies are from PBE.

Unit cell a=7.798 b=7.798 c=7.798 alpha=32.61 beta=32.61 gamma=32.61
Fractional coordinates of all 4 atoms:
Pr  0.245  0.245  0.245
Pr  0.755  0.755  0.755
Si  0.500  0.500  0.500
Sb  0.000  0.000  0.000

Calculated values
The raw formation energy comes out at -0.79 eV per atom. The relative energy among the computed polymorphs comes out at 85.4 meV/atom.

No. 10
Here is crystalline BiAsRh2 at its relaxed geometry from Alexandria via LeMat-Bulk. Energies are from PBE.

Unit cell a=4.641 b=4.641 c=4.641 alpha=60.00 beta=60.00 gamma=60.00
Fractional coordinates of all 4 atoms:
Bi  0.000  0.000  0.000
As  0.500  0.500  0.500
Rh  0.250  0.250  0.250
Rh  0.750  0.750  0.750

Calculated values
For the formation energy, the calculation gives 25 meV per atom.

No. 11
Here is crystalline SrSb2Os at its relaxed geometry from Alexandria via LeMat-Bulk. Energies are from PBE.

Unit cell a=8.152 b=8.152 c=8.152 alpha=156.43 beta=151.48 gamma=37.32
Fractional coordinates of all 4 atoms:
Sr  0.000  0.000  0.000
Sb  0.364  0.364  0.000
Sb  0.666  0.166  0.500
Os  0.229  0.729  0.500

Calculated values
The raw formation energy comes out at 0.02 eV per atom. The relative energy among the computed polymorphs comes out at 260.9 meV/atom.

No. 12
Here is crystalline DyPu3Tl4 at its relaxed geometry from Alexandria via LeMat-Bulk. Energies are from PBE.

Unit cell a=3.356 b=3.356 c=19.110 alpha=90.00 beta=90.00 gamma=90.00
Fractional coordinates of all 8 atoms:
Dy  0.000  0.000  0.000
Pu  0.000  0.000  0.247
Pu  0.000  0.000  0.500
Pu  0.000  0.000  0.753
Tl  0.500  0.500  0.122
Tl  0.500  0.500  0.374
Tl  0.500  0.500  0.626
Tl  0.500  0.500  0.878

Calculated values
For the formation energy, the calculation gives -102 meV per atom.

No. 13
Here is crystalline Sr2ScCu at its relaxed geometry from Alexandria via LeMat-Bulk. Energies are from PBE.

Unit cell a=8.310 b=8.310 c=8.310 alpha=95.33 beta=95.33 gamma=144.49
Fractional coordinates of all 8 atoms:
Sr  0.375  0.225  0.350
Sr  0.775  0.125  0.150
Sr  0.875  0.025  0.650
Sr  0.975  0.625  0.850
Sc  0.250  0.750  0.500
Sc  0.500  0.500  0.000
Cu  0.000  0.000  0.000
Cu  0.750  0.250  0.500

Calculated values
For the formation energy, the calculation gives 331 meV per atom. The relative energy among the computed polymorphs comes out at 258.8 meV/atom.

No. 14
Here is crystalline KAl3Mo at its relaxed geometry from Alexandria via LeMat-Bulk. Energies are from PBE.

Unit cell a=4.995 b=4.995 c=4.995 alpha=90.00 beta=90.00 gamma=90.00
Fractional coordinates of all 5 atoms:
K  0.000  0.000  0.000
Al  0.000  0.500  0.500
Al  0.500  0.000  0.500
Al  0.500  0.500  0.000
Mo  0.500  0.500  0.500

Calculated values
For the formation energy, the calculation gives 262 meV per atom. The relative energy among the computed polymorphs comes out at 0.0 meV/atom.

No. 15
Here is crystalline MgSi2Rh at its relaxed geometry from Alexandria via LeMat-Bulk. Energies are from PBE.

Unit cell a=13.919 b=7.277 c=4.881 alpha=90.00 beta=90.00 gamma=90.00
Fractional coordinates of all 32 atoms:
Mg  0.109  0.250  0.244
Mg  0.144  0.750  0.475
Mg  0.356  0.250  0.975
Mg  0.391  0.750  0.744
Mg  0.609  0.250  0.256
Mg  0.644  0.750  0.025
Mg  0.856  0.250  0.525
Mg  0.891  0.750  0.756
Si  0.033  0.043  0.744
Si  0.033  0.457  0.744
Si  0.214  0.544  0.967
Si  0.214  0.956  0.967
Si  0.286  0.044  0.467
Si  0.286  0.456  0.467
Si  0.467  0.543  0.244
Si  0.467  0.957  0.244
Si  0.533  0.043  0.756
Si  0.533  0.457  0.756
Si  0.714  0.544  0.533
Si  0.714  0.956  0.533
Si  0.786  0.044  0.033
Si  0.786  0.456  0.033
Si  0.967  0.543  0.256
Si  0.967  0.957  0.256
Rh  0.073  0.750  0.979
Rh  0.175  0.250  0.734
Rh  0.325  0.750  0.234
Rh  0.427  0.250  0.479
Rh  0.573  0.750  0.521
Rh  0.675  0.250  0.766
Rh  0.825  0.750  0.266
Rh  0.927  0.250  0.021

Calculated values
The raw formation energy comes out at -0.46 eV per atom.

No. 16
Here is crystalline YAgAs3 at its relaxed geometry from Alexandria via LeMat-Bulk. Energies are from PBE.

Unit cell a=5.408 b=5.408 c=5.408 alpha=90.00 beta=90.00 gamma=90.00
Fractional coordinates of all 5 atoms:
Y  0.000  0.000  0.000
Ag  0.500  0.500  0.500
As  0.000  0.000  0.500
As  0.000  0.500  0.000
As  0.500  0.000  0.000

Calculated values
For the formation energy, the calculation gives 527 meV per atom. The relative energy among the computed polymorphs comes out at 320.5 meV/atom.

No. 17
Here is crystalline PrEuErIn at its relaxed geometry from Alexandria via LeMat-Bulk. Energies are from PBE.

Unit cell a=5.577 b=5.577 c=5.577 alpha=60.00 beta=60.00 gamma=60.00
Fractional coordinates of all 4 atoms:
Pr  0.000  0.000  0.000
Eu  0.250  0.250  0.250
Er  0.500  0.500  0.500
In  0.750  0.750  0.750

Calculated values
For the formation energy, the calculation gives -130 meV per atom.

No. 18
Here is crystalline Li2AgH2 at its relaxed geometry from Alexandria via LeMat-Bulk. Energies are from PBE.

Unit cell a=5.060 b=5.060 c=5.060 alpha=136.34 beta=136.34 gamma=63.46
Fractional coordinates of all 5 atoms:
Li  0.250  0.750  0.500
Li  0.750  0.250  0.500
Ag  0.000  0.000  0.000
H  0.208  0.208  0.000
H  0.792  0.792  0.000

Calculated values
The relative energy among the computed polymorphs comes out at 0.0 meV/atom.

No. 19
Here is crystalline TePt2RhSe at its relaxed geometry from Alexandria via LeMat-Bulk. Energies are from PBE.

Unit cell a=4.894 b=4.894 c=5.386 alpha=90.00 beta=90.00 gamma=90.00
Fractional coordinates of all 5 atoms:
Te  0.000  0.000  0.000
Pt  0.000  0.500  0.000
Pt  0.500  0.000  0.000
Rh  0.500  0.500  0.500
Se  0.000  0.000  0.500

Calculated values
The raw formation energy comes out at 1.23 eV per atom.

No. 20
Here is crystalline Pm2InSe at its relaxed geometry from Alexandria via LeMat-Bulk. Energies are from PBE.

Unit cell a=8.346 b=8.346 c=8.346 alpha=28.38 beta=28.38 gamma=28.38
Fractional coordinates of all 4 atoms:
Pm  0.241  0.241  0.241
Pm  0.759  0.759  0.759
In  0.000  0.000  0.000
Se  0.500  0.500  0.500

Calculated values
The raw formation energy comes out at -1.11 eV per atom. The relative energy among the computed polymorphs comes out at 43.2 meV/atom.

No. 21
Here is crystalline SrIn3Sn at its relaxed geometry from Alexandria via LeMat-Bulk. Energies are from PBE.

Unit cell a=5.749 b=5.749 c=5.749 alpha=90.00 beta=90.00 gamma=90.00
Fractional coordinates of all 5 atoms:
Sr  0.000  0.000  0.000
In  0.000  0.500  0.500
In  0.500  0.000  0.500
In  0.500  0.500  0.000
Sn  0.500  0.500  0.500

Calculated values
For the formation energy, the calculation gives 136 meV per atom. The relative energy among the computed polymorphs comes out at 382.8 meV/atom.

No. 22
Here is crystalline Mn3Be8Mo at its relaxed geometry from Alexandria via LeMat-Bulk. Energies are from PBE.

Unit cell a=4.238 b=4.238 c=6.937 alpha=90.00 beta=90.00 gamma=120.00
Fractional coordinates of all 12 atoms:
Mn  0.000  0.000  0.000
Mn  0.000  0.000  0.379
Mn  0.333  0.667  0.874
Be  0.006  0.503  0.182
Be  0.327  0.164  0.697
Be  0.497  0.503  0.182
Be  0.497  0.994  0.182
Be  0.667  0.333  0.435
Be  0.667  0.333  0.941
Be  0.836  0.164  0.697
Be  0.836  0.673  0.697
Mo  0.333  0.667  0.499

Calculated values
For the formation energy, the calculation gives -269 meV per atom.

No. 23
Here is crystalline K2HgTeS at its relaxed geometry from Alexandria via LeMat-Bulk. Energies are from PBE.

Unit cell a=6.125 b=6.125 c=4.952 alpha=90.00 beta=90.00 gamma=90.00
Fractional coordinates of all 5 atoms:
K  0.000  0.500  0.000
K  0.500  0.000  0.000
Hg  0.000  0.000  0.500
Te  0.500  0.500  0.500
S  0.000  0.000  0.000

Calculated values
The raw formation energy comes out at -0.58 eV per atom. The relative energy among the computed polymorphs comes out at 227.5 meV/atom.

No. 24
Here is crystalline CsCdIn4 at its relaxed geometry from Alexandria via LeMat-Bulk. Energies are from PBE.

Unit cell a=7.061 b=7.061 c=8.919 alpha=106.02 beta=106.02 gamma=68.09
Fractional coordinates of all 12 atoms:
Cs  0.182  0.182  0.286
Cs  0.818  0.818  0.714
Cd  0.410  0.410  0.695
Cd  0.590  0.590  0.305
In  0.179  0.179  0.758
In  0.193  0.591  0.063
In  0.251  0.749  0.500
In  0.409  0.807  0.937
In  0.591  0.193  0.063
In  0.749  0.251  0.500
In  0.807  0.409  0.937
In  0.821  0.821  0.242

Calculated values
For the formation energy, the calculation gives -56 meV per atom. The relative energy among the computed polymorphs comes out at 0.0 meV/atom.

No. 25
Here is crystalline Mg2ZnCoP at its relaxed geometry from Alexandria via LeMat-Bulk. Energies are from PBE.

Unit cell a=4.817 b=4.817 c=4.353 alpha=90.00 beta=90.00 gamma=90.00
Fractional coordinates of all 5 atoms:
Mg  0.000  0.500  0.000
Mg  0.500  0.000  0.000
Zn  0.000  0.000  0.000
Co  0.000  0.000  0.500
P  0.500  0.500  0.500

Calculated values
For the formation energy, the calculation gives 662 meV per atom.

No. 26
Here is crystalline Pr2BiI at its relaxed geometry from Alexandria via LeMat-Bulk. Energies are from PBE.

Unit cell a=3.996 b=3.996 c=7.983 alpha=90.00 beta=90.00 gamma=90.00
Fractional coordinates of all 4 atoms:
Pr  0.000  0.000  0.231
Pr  0.000  0.000  0.769
Bi  0.500  0.500  0.000
I  0.500  0.500  0.500

Calculated values
The raw formation energy comes out at -0.84 eV per atom. The relative energy among the computed polymorphs comes out at 78.8 meV/atom.